## Ce2InRh6 (PBE)

Data for a relaxed structure of Ce2InRh6.

Summary:
E_tot (eV for the cell shown): -61.9
Formation enthalpy at 0 K (eV/atom): -0.350
Fermi-level density of states (states/eV per atom): 0.75

Cell: 6.565 6.565 6.565 Å, 139.36 108.85 85.31°
Element x y z (fractional)
Ce 0.172 0.172 0.000
Ce 0.828 0.828 0.000
In 0.500 0.500 0.000
Rh 0.044 0.334 0.710
Rh 0.281 0.000 0.281
Rh 0.375 0.666 0.710
Rh 0.625 0.334 0.290
Rh 0.719 0.000 0.719
Rh 0.956 0.666 0.290